Record 1
A plane-wave DFT calculation with PBE was carried out for a relaxed structure of BaSr2Cd2Hg2.

Cell: 5.1075 5.1075 11.5730 Å, 77.25 77.25 60.00°
Closest atoms and distances in Å follow each position.
Fractional positions:
Sr 0.1221 0.1221 0.6338  3 Cd 3.43, 3 Hg 3.43
Sr 0.8779 0.8779 0.3662  3 Cd 3.43, 3 Hg 3.43
Cd 0.7364 0.7364 0.7908  3 Hg 2.95
Cd 0.2636 0.2636 0.2092  3 Hg 2.95
Hg 0.4030 0.4030 0.7910  3 Cd 2.95
Hg 0.5970 0.5970 0.2090  3 Cd 2.95
Ba 0.0000 0.0000 0.0000  6 Hg 3.76, 6 Cd 3.77, 2 Sr 4.10

Calculated values
Mass density: 6.16 g/cm³
Calculated total energy: -1.4559 eV per atom
Space group: No. 166
Energy of formation from the pure elements: -0.35 eV/atom

Record 2
A plane-wave DFT calculation with PBE was carried out for a relaxed structure of Ba2SrCdHg6.

Cell: 8.2395 8.2395 8.2395 Å, 60.00 60.00 90.00°
Closest atoms and distances in Å follow each position.
Fractional positions:
Ba 0.7500 0.2500 0.5000  12 Hg 4.12
Ba 0.2500 0.7500 0.5000  12 Hg 4.12
Hg 0.7606 0.7606 0.0000  1 Cd 2.79, 1 Sr 3.04
Hg 0.2394 0.2394 0.0000  1 Cd 2.79, 1 Sr 3.04
Hg 0.2393 0.7607 0.0000  1 Cd 2.79, 1 Sr 3.04
Hg 0.7607 0.2393 0.0000  1 Cd 2.79, 1 Sr 3.04
Hg 0.2393 0.2393 0.5213  1 Cd 2.79, 1 Sr 3.04
Hg 0.7607 0.7607 0.4787  1 Cd 2.79, 1 Sr 3.04
Cd 0.0000 0.0000 0.0000  6 Hg 2.79
Sr 0.5000 0.5000 0.0000  6 Hg 3.04

Calculated values
Mass density: 7.05 g/cm³
Calculated total energy: -0.9846 eV per atom
Space group: No. 225
Energy of formation from the pure elements: -0.16 eV/atom

Record 3
A plane-wave DFT calculation with PBE was carried out for a relaxed structure of Ba3Sr3CdHg2.

Cell: 5.4972 9.0283 9.0283 Å, 120.00 90.00 90.00°
Closest atoms and distances in Å follow each position.
Fractional positions:
Sr 0.0000 0.5886 0.5886  1 Cd 3.71, 4 Hg 3.87, 2 Ba 4.05
Sr 0.0000 0.4114 0.0000  1 Cd 3.71, 4 Hg 3.87, 2 Ba 4.05
Sr 0.0000 0.0000 0.4114  1 Cd 3.71, 4 Hg 3.87, 2 Ba 4.05
Hg 0.5000 0.3333 0.6667  3 Ba 3.39
Hg 0.5000 0.6667 0.3333  3 Ba 3.39
Ba 0.5000 0.2594 0.2594  2 Hg 3.39, 2 Cd 3.61
Ba 0.5000 0.7406 0.0000  2 Hg 3.39, 2 Cd 3.61
Ba 0.5000 0.0000 0.7406  2 Hg 3.39, 2 Cd 3.61
Cd 0.0000 0.0000 0.0000  6 Ba 3.61, 3 Sr 3.71

Calculated values
Mass density: 5.09 g/cm³
Calculated total energy: -1.6301 eV per atom
Space group: No. 189
Energy of formation from the pure elements: -0.26 eV/atom

Record 4
A plane-wave DFT calculation with PBE was carried out for a relaxed structure of Ba3Sr2Cd2Hg4.

Cell: 5.2303 5.2303 17.6500 Å, 90.00 90.00 120.00°
Closest atoms and distances in Å follow each position.
Fractional positions:
Hg 0.3333 0.6667 0.3517  3 Sr 3.29, 3 Ba 3.62
Hg 0.3333 0.6667 0.8796  3 Cd 3.02
Hg 0.6667 0.3333 0.1204  3 Cd 3.02
Hg 0.6667 0.3333 0.6483  3 Sr 3.29, 3 Ba 3.62
Cd 0.6667 0.3333 0.8747  3 Hg 3.02
Cd 0.3333 0.6667 0.1253  3 Hg 3.02
Sr 0.3333 0.6667 0.5750  3 Hg 3.29
Sr 0.6667 0.3333 0.4250  3 Hg 3.29
Ba 0.0000 0.0000 0.7615  3 Cd 3.62, 6 Hg 3.62-3.67
Ba 0.0000 0.0000 0.2385  3 Cd 3.62, 6 Hg 3.62-3.67
Ba 0.0000 0.0000 0.0000  6 Hg 3.69, 6 Cd 3.74

Calculated values
Mass density: 6.41 g/cm³
Calculated total energy: -1.4765 eV per atom
Space group: No. 164
Energy of formation from the pure elements: -0.37 eV/atom

Record 5
A plane-wave DFT calculation with PBE was carried out for a relaxed structure of Ba3Sr3Cd2Hg.

Cell: 5.2809 9.2760 9.2760 Å, 120.00 90.00 90.00°
Closest atoms and distances in Å follow each position.
Fractional positions:
Ba 0.0000 0.5947 0.5947  1 Hg 3.76, 4 Cd 3.86, 2 Sr 4.15
Ba 0.0000 0.4053 0.0000  1 Hg 3.76, 4 Cd 3.86, 2 Sr 4.15
Ba 0.0000 0.0000 0.4053  1 Hg 3.76, 4 Cd 3.86, 2 Sr 4.15
Cd 0.5000 0.3333 0.6667  3 Sr 3.54, 6 Ba 3.86
Cd 0.5000 0.6667 0.3333  3 Sr 3.54, 6 Ba 3.86
Sr 0.5000 0.2498 0.2498  2 Hg 3.51, 2 Cd 3.54
Sr 0.5000 0.0000 0.7502  2 Hg 3.51, 2 Cd 3.54
Sr 0.5000 0.7502 0.0000  2 Hg 3.51, 2 Cd 3.54
Hg 0.0000 0.0000 0.0000  6 Sr 3.51, 3 Ba 3.76

Calculated values
Mass density: 4.64 g/cm³
Calculated total energy: -1.6832 eV per atom
Space group: No. 189
Energy of formation from the pure elements: -0.24 eV/atom

Record 6
A plane-wave DFT calculation with PBE was carried out for a relaxed structure of BaTbCdHg.

Cell: 5.6279 5.6279 5.6279 Å, 60.00 60.00 60.00°
Closest atoms and distances in Å follow each position.
Fractional positions:
Ba 0.0000 0.0000 0.0000  4 Hg 3.45, 4 Cd 3.45
Hg 0.7500 0.7500 0.7500  4 Ba 3.45, 4 Tb 3.45
Cd 0.2500 0.2500 0.2500  4 Ba 3.45, 4 Tb 3.45
Tb 0.5000 0.5000 0.5000  4 Hg 3.45, 4 Cd 3.45

Calculated values
Mass density: 8.03 g/cm³
Calculated total energy: -2.2168 eV per atom
Space group: No. 216
Energy of formation from the pure elements: -0.27 eV/atom

Record 7
A plane-wave DFT calculation with PBE was carried out for a relaxed structure of Ba2TbCdHg6.

Cell: 8.0257 8.0257 8.0257 Å, 60.00 60.00 90.00°
Closest atoms and distances in Å follow each position.
Fractional positions:
Cd 0.0000 0.0000 0.0000  6 Hg 2.78
Hg 0.7547 0.7547 0.4907  1 Cd 2.78, 1 Tb 2.89
Hg 0.2453 0.2453 0.0000  1 Cd 2.78, 1 Tb 2.89
Hg 0.7547 0.7547 0.0000  1 Cd 2.78, 1 Tb 2.89
Hg 0.2453 0.7547 0.0000  1 Cd 2.78, 1 Tb 2.89
Hg 0.7547 0.2453 0.0000  1 Cd 2.78, 1 Tb 2.89
Hg 0.2453 0.2453 0.5093  1 Cd 2.78, 1 Tb 2.89
Ba 0.2500 0.7500 0.5000  12 Hg 4.01
Ba 0.7500 0.2500 0.5000  12 Hg 4.01
Tb 0.5000 0.5000 0.0000  6 Hg 2.89

Calculated values
Mass density: 7.95 g/cm³
Calculated total energy: -1.3230 eV per atom
Space group: No. 225
Energy of formation from the pure elements: -0.20 eV/atom

Record 8
A plane-wave DFT calculation with PBE was carried out for a relaxed structure of Ba2Tl3Cd4Hg.

Cell: 5.0018 5.0018 12.4027 Å, 90.00 90.00 90.00°
Closest atoms and distances in Å follow each position.
Fractional positions:
Ba 0.0000 0.5000 0.7484  6 Tl 3.82-3.97, 8 Cd 3.83-4.00, 2 Hg 3.97
Ba 0.5000 0.0000 0.2516  6 Tl 3.82-3.97, 8 Cd 3.83-4.00, 2 Hg 3.97
Tl 0.0000 0.5000 0.1346  5 Cd 2.91-3.01
Tl 0.5000 0.0000 0.8654  5 Cd 2.91-3.01
Tl 0.0000 0.0000 0.5000  4 Cd 2.98
Cd 0.5000 0.0000 0.6307  3 Tl 2.91-2.98, 2 Hg 2.98
Cd 0.0000 0.5000 0.3693  3 Tl 2.91-2.98, 2 Hg 2.98
Cd 0.5000 0.5000 0.0000  4 Tl 3.01
Cd 0.0000 0.0000 0.0000  4 Tl 3.01
Hg 0.5000 0.5000 0.5000  4 Cd 2.98

Calculated values
Mass density: 8.23 g/cm³
Calculated total energy: -1.7497 eV per atom
Space group: No. 115
Energy of formation from the pure elements: -0.26 eV/atom

Record 9
A plane-wave DFT calculation with PBE was carried out for a relaxed structure of BaTlCd2Hg4.

Cell: 5.0919 5.0919 10.7066 Å, 76.24 76.24 60.00°
Closest atoms and distances in Å follow each position.
Fractional positions:
Cd 0.7550 0.7550 0.7349  6 Hg 3.08-3.13
Cd 0.2450 0.2450 0.2651  6 Hg 3.08-3.13
Hg 0.3917 0.3917 0.8249  3 Cd 3.08, 1 Tl 3.34, 3 Ba 3.45
Hg 0.6083 0.6083 0.1751  3 Cd 3.08, 1 Tl 3.34, 3 Ba 3.45
Hg 0.8766 0.8766 0.3703  3 Cd 3.13, 3 Tl 3.23
Hg 0.1234 0.1234 0.6297  3 Cd 3.13, 3 Tl 3.23
Tl 0.5000 0.5000 0.5000  8 Hg 3.23-3.34
Ba 0.0000 0.0000 0.0000  8 Hg 3.45-3.81

Calculated values
Mass density: 9.83 g/cm³
Calculated total energy: -1.1295 eV per atom
Space group: No. 166
Energy of formation from the pure elements: -0.21 eV/atom

Record 10
A plane-wave DFT calculation with PBE was carried out for a relaxed structure of BaTlCd8Hg2.

Cell: 6.5096 6.5096 9.8612 Å, 80.71 80.71 54.24°
Closest atoms and distances in Å follow each position.
Fractional positions:
Ba 0.0000 0.0000 0.5000  10 Cd 3.64-4.02, 4 Hg 3.69
Cd 0.5525 0.0491 0.2405  6 Cd 2.92-3.11, 1 Hg 3.12
Cd 0.0491 0.5525 0.2405  6 Cd 2.92-3.11, 1 Hg 3.12
Cd 0.3065 0.3065 0.9849  1 Hg 2.89, 4 Cd 2.92-3.11
Cd 0.6935 0.6935 0.0151  1 Hg 2.89, 4 Cd 2.92-3.11
Cd 0.9509 0.4475 0.7595  6 Cd 2.92-3.11, 1 Hg 3.12
Cd 0.6865 0.6865 0.4954  6 Cd 3.01-3.32, 2 Hg 3.07-3.08
Cd 0.3135 0.3135 0.5046  6 Cd 3.01-3.32, 2 Hg 3.07-3.08
Cd 0.4475 0.9509 0.7595  6 Cd 2.92-3.11, 1 Hg 3.12
Hg 0.4698 0.4698 0.7262  5 Cd 2.89-3.12
Hg 0.5302 0.5302 0.2738  5 Cd 2.89-3.12
Tl 0.0000 0.0000 0.0000  6 Cd 3.34-3.53

Calculated values
Mass density: 8.18 g/cm³
Calculated total energy: -1.1046 eV per atom
Space group: No. 12
Energy of formation from the pure elements: -0.09 eV/atom

Record 11
A plane-wave DFT calculation with PBE was carried out for a relaxed structure of Ba2Tl2CdHg4.

Cell: 7.4199 7.4199 7.4199 Å, 89.56 120.25 120.25°
Closest atoms and distances in Å follow each position.
Fractional positions:
Hg 0.0000 0.2786 0.7214  1 Cd 2.91, 2 Tl 3.18
Hg 0.5572 0.2786 0.2786  1 Cd 2.91, 2 Tl 3.18
Hg 0.0000 0.7214 0.2786  1 Cd 2.91, 2 Tl 3.18
Hg 0.4428 0.7214 0.7214  1 Cd 2.91, 2 Tl 3.18
Cd 0.0000 0.0000 0.0000  4 Hg 2.91, 2 Tl 3.09
Ba 0.5000 0.2500 0.7500  8 Hg 3.72, 4 Tl 3.72
Ba 0.5000 0.7500 0.2500  8 Hg 3.72, 4 Tl 3.72
Tl 0.0000 0.2930 0.2930  1 Cd 3.09, 4 Hg 3.18
Tl 0.0000 0.7070 0.7070  1 Cd 3.09, 4 Hg 3.18

Calculated values
Mass density: 9.22 g/cm³
Calculated total energy: -1.4753 eV per atom
Space group: No. 139
Energy of formation from the pure elements: -0.29 eV/atom

Record 12
A plane-wave DFT calculation with PBE was carried out for a relaxed structure of BaTlCd2Hg2.

Cell: 5.1384 5.1384 7.8115 Å, 90.00 90.00 120.00°
Closest atoms and distances in Å follow each position.
Fractional positions:
Hg 0.3333 0.6667 0.7606  3 Cd 3.03
Hg 0.6667 0.3333 0.2394  3 Cd 3.03
Tl 0.0000 0.0000 0.5000  6 Cd 3.28, 6 Hg 3.60
Cd 0.6667 0.3333 0.6795  3 Hg 3.03, 3 Tl 3.28
Cd 0.3333 0.6667 0.3205  3 Hg 3.03, 3 Tl 3.28
Ba 0.0000 0.0000 0.0000  6 Hg 3.51, 6 Cd 3.88, 2 Tl 3.91

Calculated values
Mass density: 9.00 g/cm³
Calculated total energy: -1.3874 eV per atom
Space group: No. 164
Energy of formation from the pure elements: -0.27 eV/atom